Entry 1:
Here is an optimized crystal structure of Pr8ScTl2 from Alexandria via LeMat-Bulk. Energies are from PBE.

Output
* ΔE_f: -0.03 eV/atom
* spin magnetization: 0.000 μB/atom
* D(E_F): 29.67 states/eV/cell
* E: -99.3 eV for the cell shown
* crystal system: monoclinic

```
data_Pr8ScTl2
_chemical_formula_sum 'Pr16 Sc2 Tl4'
_cell_length_a 9.060
_cell_length_b 15.603
_cell_length_c 5.850
_cell_angle_alpha 90.00
_cell_angle_beta 115.23
_cell_angle_gamma 90.00
_symmetry_space_group_name_H-M 'C 1 2/m 1'
_symmetry_Int_Tables_number 12
loop_
_symmetry_equiv_pos_as_xyz
'x,y,z'
'-x,-y,-z'
'-x,y,-z'
'x,-y,z'
'x+1/2,y+1/2,z'
'-x+1/2,-y+1/2,-z'
'-x+1/2,y+1/2,-z'
'x+1/2,-y+1/2,z'
loop_
_atom_site_label
_atom_site_type_symbol
_atom_site_fract_x
_atom_site_fract_y
_atom_site_fract_z
Pr1 Pr 0.000 0.217 0.000
Pr2 Pr 0.106 0.500 0.798
Pr3 Pr 0.203 0.110 0.607
Sc1 Sc 0.000 0.000 0.000
Tl1 Tl 0.000 0.305 0.500
```

---

Entry 2:
Here is an optimized crystal structure of SmZnInCu from Alexandria via LeMat-Bulk. Energies are from PBE.

Output
* ΔE_f: -0.32 eV/atom
* spin magnetization: 0.000 μB/atom
* D(E_F): 6.50 states/eV/cell
* E: -56.5 eV for the cell shown
* crystal system: cubic

```
data_SmZnInCu
_chemical_formula_sum 'Sm4 Zn4 In4 Cu4'
_cell_length_a 6.821
_cell_length_b 6.821
_cell_length_c 6.821
_cell_angle_alpha 90.00
_cell_angle_beta 90.00
_cell_angle_gamma 90.00
_symmetry_space_group_name_H-M 'F -4 3 m'
_symmetry_Int_Tables_number 216
_symmetry_space_group_name_Hall 'F -4 2 3'
loop_
_atom_site_label
_atom_site_type_symbol
_atom_site_fract_x
_atom_site_fract_y
_atom_site_fract_z
Sm1 Sm 0.000 0.000 0.000
Zn1 Zn 0.250 0.250 0.250
In1 In 0.000 0.000 0.500
Cu1 Cu 0.250 0.250 0.750
```

---

Entry 3:
Here is an optimized crystal structure of Ca3Ga5Se12 from Alexandria via LeMat-Bulk. Energies are from PBE.

Output
* spin magnetization: 0.000 μB/atom
* formation energy from raw total energies: -0.80 eV per atom
* D(E_F): 141.19 states/eV/cell
* E: -631.1 eV for the cell shown
* crystal system: cubic

```
data_Ca3Ga5Se12
_chemical_formula_sum 'Ca24 Ga40 Se96'
_cell_length_a 16.010
_cell_length_b 16.010
_cell_length_c 16.010
_cell_angle_alpha 90.00
_cell_angle_beta 90.00
_cell_angle_gamma 90.00
_symmetry_space_group_name_H-M 'I a -3 d'
_symmetry_Int_Tables_number 230
_symmetry_space_group_name_Hall '-I 4bd 2c 3'
loop_
_atom_site_label
_atom_site_type_symbol
_atom_site_fract_x
_atom_site_fract_y
_atom_site_fract_z
Ca1 Ca 0.000 0.250 0.125
Ga1 Ga 0.000 0.000 0.000
Ga2 Ga 0.000 0.250 0.375
Se1 Se 0.028 0.060 0.649
```